# 1
DFT (PBE) results for a geometry-optimized BeNiBIr structure.

Unit cell a=3.884 b=3.884 c=3.884 alpha=60.00 beta=60.00 gamma=60.00
Element x y z (fractional)
Be 0.000 0.000 0.000
Ni 0.500 0.500 0.500
B 0.250 0.250 0.250
Ir 0.750 0.750 0.750

- E above lowest polymorph: 23.21 kJ per mole of atoms
- Spin magnetization: 0.00 μB per formula unit


# 2
DFT (PBE) results for a geometry-optimized UBeCo structure.

Unit cell a=4.006 b=4.006 c=4.006 alpha=60.00 beta=60.00 gamma=60.00
Element x y z (fractional)
U 0.000 0.000 0.000
Be 0.250 0.250 0.250
Co 0.500 0.500 0.500

- E above lowest polymorph: 14.71 kJ per mole of atoms
- Spin magnetization: 1.66 μB per formula unit


# 3
DFT (PBE) results for a geometry-optimized CdS structure.

Unit cell a=3.879 b=3.879 c=3.879 alpha=60.00 beta=60.00 gamma=60.00
Element x y z (fractional)
Cd 0.000 0.000 0.000
S 0.500 0.500 0.500

- Energy: -3.028 eV per atom


# 4
DFT (PBE) results for a geometry-optimized KRbCoSeS2 structure.

Unit cell a=6.818 b=7.303 c=8.587 alpha=73.20 beta=68.73 gamma=65.83
Element x y z (fractional)
K 0.095 0.179 0.138
K 0.905 0.821 0.862
Rb 0.346 0.555 0.302
Rb 0.654 0.445 0.698
Co 0.385 0.046 0.664
Co 0.615 0.954 0.336
Se 0.175 0.361 0.729
Se 0.825 0.639 0.271
S 0.281 0.971 0.490
S 0.373 0.845 0.895
S 0.627 0.155 0.105
S 0.719 0.029 0.510

- Energy: -4.153 eV per atom
- Spin magnetization: 1.19 μB per formula unit


# 5
DFT (PBE) results for a geometry-optimized HoZnInTe3 structure.

Unit cell a=8.731 b=4.333 c=11.117 alpha=90.00 beta=108.65 gamma=90.00
Element x y z (fractional)
Ho 0.190 0.250 0.144
Ho 0.810 0.750 0.856
Zn 0.421 0.750 0.389
Zn 0.579 0.250 0.611
In 0.234 0.750 0.709
In 0.766 0.250 0.291
Te 0.060 0.250 0.855
Te 0.265 0.250 0.444
Te 0.445 0.750 0.157
Te 0.555 0.250 0.843
Te 0.735 0.750 0.556
Te 0.940 0.750 0.145

- E above lowest polymorph: 2.23 kJ per mole of atoms
- Spin magnetization: 0.00 μB per formula unit


# 6
DFT (PBE) results for a geometry-optimized ErMgHg structure.

Unit cell a=6.991 b=4.648 c=8.784 alpha=90.00 beta=90.00 gamma=90.00
Element x y z (fractional)
Er 0.035 0.250 0.184
Er 0.465 0.750 0.684
Er 0.535 0.250 0.316
Er 0.965 0.750 0.816
Mg 0.154 0.250 0.554
Mg 0.346 0.750 0.054
Mg 0.654 0.250 0.946
Mg 0.846 0.750 0.446
Hg 0.244 0.250 0.873
Hg 0.256 0.750 0.373
Hg 0.744 0.250 0.627
Hg 0.756 0.750 0.127

- Energy: -2.485 eV per atom
- Spin magnetization: 0.01 μB per formula unit